Entry 1:
Computed, not measured: BeZnNiP2 after structural relaxation at the GGA-PBE level of DFT.

Properties
Uncorrected energy (eV per atom): -3.1452
DOS at the Fermi energy (states/eV/cell): 5.12

a = 4.5527 Å, b = 4.0107 Å, c = 4.5527 Å
α = 90.00°, β = 90.00°, γ = 90.00°
Closest atoms and distances in Å follow each position.
Fractional positions:
P1 0.5000 0.0000 0.0000  2 Zn 2.28
P2 0.0000 0.0000 0.5000  2 Zn 2.28
Zn1 0.0000 0.0000 0.0000  2 Be 2.01
Be1 0.0000 0.5000 0.0000  2 Zn 2.01
Ni1 0.5000 0.5000 0.5000  8 P 3.03, 4 Be 3.22

=====

Entry 2:
Computed, not measured: ZrBeNi2P after structural relaxation at the GGA-PBE level of DFT.

Properties
Uncorrected energy (eV per atom): -5.8741
DOS at the Fermi energy (states/eV/cell): 4.60

a = 4.1753 Å, b = 4.0895 Å, c = 4.1753 Å
α = 90.00°, β = 90.00°, γ = 90.00°
Closest atoms and distances in Å follow each position.
Fractional positions:
P1 0.0000 0.0000 0.0000  2 Be 2.04, 4 Ni 2.09
Zr1 0.5000 0.5000 0.5000  8 Ni 2.92, 4 Be 2.95
Be1 0.0000 0.5000 0.0000  2 P 2.04
Ni1 0.5000 0.0000 0.0000  2 P 2.09
Ni2 0.0000 0.0000 0.5000  2 P 2.09

=====

Entry 3:
Computed, not measured: PaBe2Ni3 after structural relaxation at the GGA-PBE level of DFT.

Properties
Uncorrected energy (eV per atom): -6.0805
DOS at the Fermi energy (states/eV/cell): 9.14

a = 4.6640 Å, b = 5.7469 Å, c = 5.7469 Å
α = 100.18°, β = 90.00°, γ = 90.00°
Closest atoms and distances in Å follow each position.
Fractional positions:
Be1 0.0000 0.7839 0.2161  6 Ni 2.21-2.39, 2 Be 2.33
Be2 0.5000 0.7839 0.2161  6 Ni 2.21-2.39, 2 Be 2.33
Be3 0.5000 0.2161 0.7839  6 Ni 2.21-2.39, 2 Be 2.33
Be4 0.0000 0.2161 0.7839  6 Ni 2.21-2.39, 2 Be 2.33
Pa1 0.7500 0.6831 0.6831  7 Ni 2.61-2.92
Pa2 0.2500 0.3169 0.3169  7 Ni 2.61-2.92
Ni1 0.2500 0.5421 0.9001  4 Be 2.21-2.39, 1 Ni 2.38
Ni2 0.7500 0.0999 0.4579  4 Be 2.21-2.39, 1 Ni 2.38
Ni3 0.2500 0.9001 0.5421  4 Be 2.21-2.39, 1 Ni 2.38
Ni4 0.7500 0.0373 0.0373  4 Be 2.25, 4 Ni 2.38-2.40
Ni5 0.7500 0.4579 0.0999  4 Be 2.21-2.39, 1 Ni 2.38
Ni6 0.2500 0.9627 0.9627  4 Be 2.25, 4 Ni 2.38-2.40

=====

Entry 4:
Computed, not measured: PaBe3Ni10 after structural relaxation at the GGA-PBE level of DFT.

Properties
Uncorrected energy (eV per atom): -5.8343
DOS at the Fermi energy (states/eV/cell): 22.03

a = 7.6926 Å, b = 7.6926 Å, c = 7.6926 Å
α = 60.00°, β = 60.00°, γ = 60.00°
Closest atoms and distances in Å follow each position.
Fractional positions:
Ni1 0.3831 0.3831 0.8508  3 Be 2.18
Ni2 0.6169 0.6169 0.1492  3 Be 2.18
Ni3 0.3405 0.6595 0.0000  2 Be 2.15
Ni4 0.3831 0.8508 0.3831  3 Be 2.18
Ni5 0.0000 0.0000 0.3405  2 Be 2.15
Ni6 0.6595 0.0000 0.0000  2 Be 2.15
Ni7 0.6595 0.0000 0.3405  2 Be 2.15
Ni8 0.0000 0.6595 0.0000  2 Be 2.15
Ni9 0.3405 0.0000 0.0000  2 Be 2.15
Ni10 0.6169 0.6169 0.6169  3 Be 2.18
Ni11 0.0000 0.6595 0.3405  2 Be 2.15
Ni12 0.3831 0.3831 0.3831  3 Be 2.18
Ni13 0.6595 0.3405 0.0000  2 Be 2.15
Ni14 0.0000 0.3405 0.6595  2 Be 2.15
Ni15 0.3405 0.0000 0.6595  2 Be 2.15
Ni16 0.0000 0.3405 0.0000  2 Be 2.15
Ni17 0.8508 0.3831 0.3831  3 Be 2.18
Ni18 0.0000 0.0000 0.6595  2 Be 2.15
Ni19 0.1492 0.6169 0.6169  3 Be 2.18
Ni20 0.6169 0.1492 0.6169  3 Be 2.18
Pa1 0.2500 0.2500 0.2500  4 Ni 2.51
Pa2 0.7500 0.7500 0.7500  4 Ni 2.51
Be1 0.7295 0.2705 0.2705  8 Ni 2.15-2.18
Be2 0.2705 0.7295 0.2705  8 Ni 2.15-2.18
Be3 0.7295 0.2705 0.7295  8 Ni 2.15-2.18
Be4 0.2705 0.7295 0.7295  8 Ni 2.15-2.18
Be5 0.2705 0.2705 0.7295  8 Ni 2.15-2.18
Be6 0.7295 0.7295 0.2705  8 Ni 2.15-2.18

=====

Number 1: E_form 1.1751 eV per atom. Number 2: E_form -0.0248 eV per atom. Number 3: E_form -0.3651 eV per atom. Number 4: E_form -0.2280 eV per atom.